[1]
# K2MnAs

A relaxed K2MnAs crystal (PBE, Alexandria via LeMat-Bulk).

Lattice parameters (Å, degrees): 4.391 4.391 9.596 101.83 101.83 59.96
Fractional positions:
K1 0.000 0.000 0.000
K2 0.159 0.159 0.532
Mn1 0.413 0.413 0.266
As1 0.746 0.746 0.266

[2]
# KMn2As

A relaxed KMn2As crystal (PBE, Alexandria via LeMat-Bulk).

Lattice parameters (Å, degrees): 6.856 6.856 6.856 35.19 35.19 35.19
Fractional positions:
K1 0.000 0.000 0.000
Mn1 0.488 0.488 0.488
Mn2 0.808 0.808 0.808
As1 0.202 0.202 0.202

[3]
# KMn2As

A relaxed KMn2As crystal (PBE, Alexandria via LeMat-Bulk).

Lattice parameters (Å, degrees): 2.998 4.340 7.209 90.00 99.75 90.00
Fractional positions:
K1 0.000 0.000 0.000
Mn1 0.308 0.500 0.650
Mn2 0.692 0.500 0.350
As1 0.500 0.000 0.500

[4]
# KMn6As4

A relaxed KMn6As4 crystal (PBE, Alexandria via LeMat-Bulk).

Lattice parameters (Å, degrees): 13.025 13.025 13.025 162.73 162.73 24.51
Fractional positions:
K1 0.000 0.000 0.000
Mn1 0.137 0.637 0.500
Mn2 0.250 0.750 0.500
Mn3 0.363 0.863 0.500
Mn4 0.637 0.137 0.500
Mn5 0.750 0.250 0.500
Mn6 0.863 0.363 0.500
As1 0.192 0.192 0.000
As2 0.419 0.419 0.000
As3 0.581 0.581 0.000
As4 0.808 0.808 0.000

Energy relative to the elements: -0.0961; 0.0332; 0.4675; -0.1473 (eV per atom)